{
  "formula": "Ba2CaIr3O12",
  "functional": "PBE-GGA",
  "state": "relaxed",
  "lattice": [[3.6651, 2.1160, 5.5559], [-3.6651, 2.1160, 5.5559], [0.0000, -4.2321, 5.5559]],
  "species": ["Ba", "Ba", "Ca", "Ir", "Ir", "Ir", "O", "O", "O", "O", "O", "O", "O", "O", "O", "O", "O", "O"],
  "frac_coords": [[0.1102, 0.1102, 0.1102], [0.8898, 0.8898, 0.8898], [0.5000, 0.5000, 0.5000], [0.0000, 0.5000, 0.5000], [0.5000, 0.0000, 0.5000], [0.5000, 0.5000, 0.0000], [0.0877, 0.6241, 0.6241], [0.2010, 0.2010, 0.6246], [0.2010, 0.6246, 0.2010], [0.3754, 0.7990, 0.7990], [0.3759, 0.3759, 0.9123], [0.3759, 0.9123, 0.3759], [0.6241, 0.0877, 0.6241], [0.6241, 0.6241, 0.0877], [0.6246, 0.2010, 0.2010], [0.7990, 0.3754, 0.7990], [0.7990, 0.7990, 0.3754], [0.9123, 0.3759, 0.3759]],
  "e_form_raw_ev_per_atom": -1.4109,
  "space_group": "No. 166",
  "crystal_system": "trigonal",
  "total_energy_ev_per_atom": -6.52
}



{
  "formula": "Ba2CaIrO6",
  "functional": "PBE-GGA",
  "state": "relaxed",
  "lattice": [[0.0000, 4.2334, 4.2334], [4.2334, 0.0000, 4.2334], [4.2334, 4.2334, 0.0000]],
  "species": ["Ba", "Ba", "Ca", "Ir", "O", "O", "O", "O", "O", "O"],
  "frac_coords": [[0.2500, 0.2500, 0.2500], [0.7500, 0.7500, 0.7500], [0.0000, 0.0000, 0.0000], [0.5000, 0.5000, 0.5000], [0.2692, 0.2692, 0.7308], [0.2692, 0.7308, 0.2692], [0.2692, 0.7308, 0.7308], [0.7308, 0.2692, 0.2692], [0.7308, 0.2692, 0.7308], [0.7308, 0.7308, 0.2692]],
  "e_form_raw_ev_per_atom": -2.1146,
  "space_group": "No. 225",
  "crystal_system": "cubic",
  "total_energy_ev_per_atom": -6.56
}



{
  "formula": "Ba6Ca2Ir3RuO18",
  "functional": "PBE-GGA",
  "state": "relaxed",
  "lattice": [[5.9733, 0.0000, 0.0000], [-2.9867, 5.1731, 0.0000], [0.0000, 0.0000, 14.6988]],
  "species": ["Ba", "Ba", "Ba", "Ba", "Ba", "Ba", "Ca", "Ca", "Ir", "Ir", "Ir", "Ru", "O", "O", "O", "O", "O", "O", "O", "O", "O", "O", "O", "O", "O", "O", "O", "O", "O", "O"],
  "frac_coords": [[0.0000, 0.0000, 0.0000], [0.0000, 0.0000, 0.3219], [0.3333, 0.6667, 0.1601], [0.3333, 0.6667, 0.6586], [0.6667, 0.3333, 0.4980], [0.6667, 0.3333, 0.8213], [0.3333, 0.6667, 0.4092], [0.3333, 0.6667, 0.9102], [0.0000, 0.0000, 0.5734], [0.6667, 0.3333, 0.0725], [0.6667, 0.3333, 0.2457], [0.0000, 0.0000, 0.7477], [0.1546, 0.3092, 0.8192], [0.1548, 0.3096, 0.4985], [0.1548, 0.8452, 0.4985], [0.1546, 0.8454, 0.8192], [0.3105, 0.1553, 0.6592], [0.3545, 0.1773, 0.1590], [0.5120, 0.0241, 0.3211], [0.5123, 0.0247, 0.9966], [0.5120, 0.4880, 0.3211], [0.5123, 0.4877, 0.9966], [0.6904, 0.8452, 0.4985], [0.6908, 0.8454, 0.8192], [0.8227, 0.1773, 0.1590], [0.8227, 0.6455, 0.1590], [0.8447, 0.1553, 0.6592], [0.8447, 0.6895, 0.6592], [0.9753, 0.4877, 0.9966], [0.9759, 0.4880, 0.3211]],
  "e_form_raw_ev_per_atom": -1.9829,
  "space_group": "No. 156",
  "crystal_system": "trigonal",
  "total_energy_ev_per_atom": -6.67
}



{
  "formula": "BaCa2IrPd",
  "functional": "PBE-GGA",
  "state": "relaxed",
  "lattice": [[5.9686, 0.0000, 0.0000], [0.0000, 5.9686, 0.0000], [0.0000, 0.0000, 4.9455]],
  "species": ["Ba", "Ca", "Ca", "Ir", "Pd"],
  "frac_coords": [[0.0000, 0.0000, 0.0000], [0.0000, 0.5000, 0.0000], [0.5000, 0.0000, 0.0000], [0.0000, 0.0000, 0.5000], [0.5000, 0.5000, 0.5000]],
  "space_group": "No. 123",
  "formation_energy_ev_per_atom": 1.34,
  "crystal_system": "tetragonal",
  "total_energy_ev_per_atom": -2.66
}



{
  "formula": "BaCaIr2Pt",
  "functional": "PBE-GGA",
  "state": "relaxed",
  "lattice": [[4.8668, 0.0000, 0.0000], [0.0000, 4.8668, 0.0000], [0.0000, 0.0000, 5.6517]],
  "species": ["Ba", "Ca", "Ir", "Ir", "Pt"],
  "frac_coords": [[0.0000, 0.0000, 0.0000], [0.0000, 0.0000, 0.5000], [0.0000, 0.5000, 0.5000], [0.5000, 0.0000, 0.5000], [0.5000, 0.5000, 0.0000]],
  "space_group": "No. 123",
  "formation_energy_ev_per_atom": 1.56,
  "crystal_system": "tetragonal",
  "total_energy_ev_per_atom": -3.98
}



{
  "formula": "RbBa2CaIr",
  "functional": "PBE-GGA",
  "state": "relaxed",
  "lattice": [[6.3153, 0.0000, 0.0000], [0.0000, 6.3153, 0.0000], [0.0000, 0.0000, 5.8342]],
  "species": ["Rb", "Ba", "Ba", "Ca", "Ir"],
  "frac_coords": [[0.0000, 0.0000, 0.0000], [0.0000, 0.5000, 0.5000], [0.5000, 0.0000, 0.5000], [0.5000, 0.5000, 0.0000], [0.5000, 0.5000, 0.5000]],
  "space_group": "No. 123",
  "formation_energy_ev_per_atom": -0.04,
  "crystal_system": "tetragonal",
  "total_energy_ev_per_atom": -3.18
}



{
  "formula": "BaCa2ScIr",
  "functional": "PBE-GGA",
  "state": "relaxed",
  "lattice": [[5.7341, 0.0000, 0.0000], [0.0000, 5.7341, 0.0000], [0.0000, 0.0000, 5.1523]],
  "species": ["Ba", "Ca", "Ca", "Sc", "Ir"],
  "frac_coords": [[0.0000, 0.0000, 0.0000], [0.0000, 0.5000, 0.5000], [0.5000, 0.0000, 0.5000], [0.5000, 0.5000, 0.0000], [0.5000, 0.5000, 0.5000]],
  "space_group": "No. 123",
  "formation_energy_ev_per_atom": -0.23,
  "crystal_system": "tetragonal",
  "total_energy_ev_per_atom": -4.45
}



{
  "formula": "BaCa2SiIr",
  "functional": "PBE-GGA",
  "state": "relaxed",
  "lattice": [[5.6081, 0.0000, 0.0000], [0.0000, 5.6081, 0.0000], [0.0000, 0.0000, 4.7342]],
  "species": ["Ba", "Ca", "Ca", "Si", "Ir"],
  "frac_coords": [[0.0000, 0.0000, 0.0000], [0.0000, 0.5000, 0.5000], [0.5000, 0.0000, 0.5000], [0.5000, 0.5000, 0.0000], [0.5000, 0.5000, 0.5000]],
  "e_form_raw_ev_per_atom": -0.2926,
  "space_group": "No. 123",
  "crystal_system": "tetragonal",
  "total_energy_ev_per_atom": -4.33
}